NdTmTe2O8, optimized geometry, DFT PBE; volume = 190.8 Å³ per cell; formation energy (no corrections) = -1.927 eV/atom; calculated density = 6.1 Mg/m³; total magnetic moment = 0.000 μB per atom
1.0
-3.7208 3.7208 3.4446
3.7208 -3.7208 3.4446
3.7208 3.7208 -3.4446
Nd Tm Te O
1 1 2 8
Direct
0.0000 0.0000 0.0000
0.7500 0.2500 0.5000
0.2500 0.7500 0.5000
0.5000 0.5000 0.0000
0.0495 0.3704 0.3209
0.0495 0.7286 0.6791
0.1091 0.3010 0.8081
0.2714 0.9505 0.3209
0.4929 0.3010 0.1919
0.6296 0.9505 0.6791
0.6990 0.5071 0.8081
0.6990 0.8909 0.1919